# 1
# TlSnPd2, optimized geometry, DFT PBE-GGA
# Formation energy in eV/atom: -0.065
data_TlSnPd2
_chemical_formula_sum 'Tl4 Sn4 Pd8'
_cell_length_a 7.521
_cell_length_b 7.521
_cell_length_c 6.040
_cell_angle_alpha 90.00
_cell_angle_beta 90.00
_cell_angle_gamma 90.00
_symmetry_space_group_name_H-M 'I -4 2 d'
_symmetry_Int_Tables_number 122
_symmetry_space_group_name_Hall 'I -4 2bw'
loop_
_atom_site_label
_atom_site_type_symbol
_atom_site_fract_x
_atom_site_fract_y
_atom_site_fract_z
Tl1 Tl 0.000 0.000 0.000
Sn1 Sn 0.000 0.000 0.500
Pd1 Pd 0.232 0.250 0.625

---

# 2
# Nd4InSn, optimized geometry, DFT PBE-GGA
# Formation energy in eV/atom: -0.175
# Excess energy over the best structure of this formula in the dataset in meV/atom: 78.4
data_Nd4InSn
_chemical_formula_sum 'Nd4 In1 Sn1'
_cell_length_a 3.544
_cell_length_b 5.816
_cell_length_c 9.417
_cell_angle_alpha 90.00
_cell_angle_beta 90.00
_cell_angle_gamma 90.00
_symmetry_space_group_name_H-M 'P m m m'
_symmetry_Int_Tables_number 47
loop_
_symmetry_equiv_pos_as_xyz
'x,y,z'
'-x,-y,-z'
'-x,-y,z'
'x,y,-z'
'x,-y,-z'
'-x,y,z'
'-x,y,-z'
'x,-y,z'
loop_
_atom_site_label
_atom_site_type_symbol
_atom_site_fract_x
_atom_site_fract_y
_atom_site_fract_z
Nd1 Nd 0.000 0.000 0.197
Nd2 Nd 0.500 0.500 0.297
In1 In 0.500 0.000 0.500
Sn1 Sn 0.000 0.500 0.000

---

# 3
# Ga2PO, optimized geometry, DFT PBE-GGA
# Formation energy (no corrections) in meV/atom: -646
# Excess energy over the best structure of this formula in the dataset in meV/atom: 0.0
data_Ga2PO
_chemical_formula_sum 'Ga8 P4 O4'
_cell_length_a 5.026
_cell_length_b 5.026
_cell_length_c 10.746
_cell_angle_alpha 90.00
_cell_angle_beta 90.00
_cell_angle_gamma 90.00
_symmetry_space_group_name_H-M 'I -4 2 d'
_symmetry_Int_Tables_number 122
_symmetry_space_group_name_Hall 'I -4 2bw'
loop_
_atom_site_label
_atom_site_type_symbol
_atom_site_fract_x
_atom_site_fract_y
_atom_site_fract_z
Ga1 Ga 0.201 0.250 0.125
P1 P 0.000 0.000 0.500
O1 O 0.000 0.000 0.000

---

The following DOS(E_F) values (in states/eV/atom) correspond, in order, to the records above: 0.56 1.47 0.51.
The following energy values (in eV/atom) correspond, in order, to the records above: -4.254 -4.477 -4.752.